--- A ---
TlBr | PBEsol | optimized geometry

extended XYZ file:
```
4
Lattice="-2.389 -2.642 -2.666 4.401 0.334 -0.562 1.120 -6.167 5.108" Properties=species:S:1:pos:R:3 pbc="T T T"
Br 0.000 0.000 0.000
Br 0.560 -3.084 2.554
Tl 2.418 -2.200 0.014
Tl 0.714 -6.275 1.866
```

Summary:
crystal system = hexagonal

--- B ---
TlBr | PBEsol | optimized geometry

extended XYZ file:
```
2
Lattice="4.623 0.000 0.000 2.312 4.004 0.000 2.312 1.335 3.775" Properties=species:S:1:pos:R:3 pbc="T T T"
Br 0.000 0.000 0.000
Tl 4.623 2.669 1.887
```

Summary:
crystal system = cubic

Which is the most stable structure? B is the most stable.